1.
The following is a PBE calculation of a relaxed Gd2TmTl3CuNi2 crystal, from OQMD.

Cell: 3.814 7.576 7.576 Å, 119.95 90.00 90.00°
Fractional coordinates of all 9 atoms:
1 Tl 0.500 0.736 0.998
2 Tl 0.500 0.265 0.265
3 Tl 0.500 0.998 0.736
4 Cu 0.000 0.999 0.999
5 Tm 0.000 0.589 0.589
6 Gd 0.000 0.411 0.001
7 Gd 0.000 0.001 0.411
8 Ni 0.500 0.665 0.336
9 Ni 0.500 0.336 0.665

- Final energy: -38.69 eV per cell
- Crystal system: orthorhombic
- Calculated density: 11.18 g/cm3
- Symmetry: Amm2 (38)

***

2.
The following is a PBE calculation of a relaxed Gd3CuP crystal, from OQMD.

Cell: 5.293 5.293 5.293 Å, 90.00 90.00 90.00°
Fractional coordinates of all 5 atoms:
1 Gd 0.500 0.000 0.500
2 Gd 0.000 0.500 0.500
3 Gd 0.500 0.500 0.000
4 P 0.500 0.500 0.500
5 Cu 0.000 0.000 0.000

- Final energy: -24.14 eV per cell
- Crystal system: cubic
- Calculated density: 6.34 g/cm3
- Symmetry: Pm-3m (221)

***

3.
The following is a PBE calculation of a relaxed PrGdCu2P4 crystal, from OQMD.

Cell: 3.778 3.778 9.955 Å, 90.00 90.00 90.00°
Fractional coordinates of all 8 atoms:
1 Cu 0.000 0.500 0.496
2 Cu 0.500 0.000 0.496
3 P 0.500 0.000 0.007
4 P 0.000 0.000 0.347
5 P 0.000 0.500 0.007
6 P 0.500 0.500 0.643
7 Gd 0.500 0.500 0.235
8 Pr 0.000 0.000 0.769

- Final energy: -45.31 eV per cell
- Crystal system: tetragonal
- Calculated density: 6.42 g/cm3
- Symmetry: P4mm (99)

***

4.
The following is a PBE calculation of a relaxed Pr2GdCu4Pb4 crystal, from OQMD.

Cell: 8.768 8.768 8.768 Å, 148.94 132.33 57.99°
Fractional coordinates of all 11 atoms:
1 Cu 0.016 0.331 0.685
2 Cu 0.646 0.331 0.315
3 Cu 0.984 0.669 0.315
4 Cu 0.354 0.669 0.685
5 Pb 0.786 0.786 0.000
6 Pb 0.710 0.500 0.210
7 Pb 0.290 0.500 0.790
8 Pb 0.214 0.214 0.000
9 Pr 0.367 0.867 0.500
10 Pr 0.633 0.133 0.500
11 Gd 0.000 0.000 0.000

- Final energy: -47.34 eV per cell
- Crystal system: orthorhombic
- Calculated density: 9.91 g/cm3
- Symmetry: Immm (71)

***

5.
The following is a PBE calculation of a relaxed GdCuPbS3 crystal, from OQMD.

Cell: 10.379 3.949 12.957 Å, 90.00 90.00 90.00°
Fractional coordinates of all 24 atoms:
1 S 0.452 0.250 0.618
2 S 0.048 0.750 0.118
3 S 0.407 0.750 0.105
4 S 0.952 0.250 0.882
5 S 0.763 0.750 0.674
6 S 0.907 0.750 0.395
7 S 0.737 0.250 0.174
8 S 0.548 0.750 0.382
9 S 0.237 0.250 0.326
10 S 0.593 0.250 0.895
11 S 0.263 0.750 0.826
12 S 0.093 0.250 0.605
13 Pb 0.781 0.750 0.999
14 Pb 0.219 0.250 0.001
15 Pb 0.719 0.250 0.499
16 Pb 0.281 0.750 0.501
17 Cu 0.735 0.750 0.281
18 Cu 0.265 0.250 0.719
19 Cu 0.765 0.250 0.781
20 Cu 0.235 0.750 0.219
21 Gd 0.482 0.250 0.239
22 Gd 0.982 0.250 0.261
23 Gd 0.518 0.750 0.761
24 Gd 0.018 0.750 0.739

- Crystal system: orthorhombic
- Offset from the most stable computed form: 0 meV/atom
- Calculated density: 6.56 g/cm3
- Symmetry: Pnma (62)

***

6.
The following is a PBE calculation of a relaxed GdCuPbS3 crystal, from OQMD.

Cell: 8.043 4.082 15.490 Å, 90.00 90.00 90.00°
Fractional coordinates of all 24 atoms:
1 S 0.317 0.250 0.216
2 S 0.876 0.750 0.557
3 S 0.817 0.250 0.284
4 S 0.488 0.250 0.595
5 S 0.988 0.250 0.905
6 S 0.512 0.750 0.405
7 S 0.683 0.750 0.784
8 S 0.376 0.750 0.943
9 S 0.012 0.750 0.095
10 S 0.183 0.750 0.716
11 S 0.124 0.250 0.443
12 S 0.624 0.250 0.057
13 Pb 0.915 0.250 0.717
14 Pb 0.085 0.750 0.283
15 Pb 0.585 0.750 0.217
16 Pb 0.415 0.250 0.783
17 Gd 0.755 0.750 0.961
18 Gd 0.745 0.250 0.461
19 Gd 0.255 0.750 0.539
20 Gd 0.245 0.250 0.039
21 Cu 0.875 0.250 0.130
22 Cu 0.125 0.750 0.870
23 Cu 0.625 0.750 0.630
24 Cu 0.375 0.250 0.370

- Crystal system: orthorhombic
- Offset from the most stable computed form: 35 meV/atom
- Calculated density: 6.85 g/cm3
- Symmetry: Pnma (62)

***

7.
The following is a PBE calculation of a relaxed GdCuPbS3 crystal, from OQMD.

Cell: 6.790 6.790 10.322 Å, 90.00 90.00 33.62°
Fractional coordinates of all 12 atoms:
1 S 0.075 0.075 0.250
2 S 0.639 0.639 0.931
3 S 0.925 0.925 0.750
4 S 0.639 0.639 0.569
5 S 0.361 0.361 0.069
6 S 0.361 0.361 0.431
7 Cu 0.468 0.468 0.250
8 Cu 0.532 0.532 0.750
9 Pb 0.753 0.753 0.250
10 Pb 0.247 0.247 0.750
11 Gd 0.000 0.000 0.500
12 Gd 0.000 0.000 0.000

- Crystal system: orthorhombic
- Offset from the most stable computed form: 4 meV/atom
- Calculated density: 6.61 g/cm3
- Symmetry: Cmcm (63)

***

8.
The following is a PBE calculation of a relaxed GdCuPbS3 crystal, from OQMD.

Cell: 7.616 3.931 9.534 Å, 90.00 105.22 90.00°
Fractional coordinates of all 12 atoms:
1 Gd 0.698 0.250 0.157
2 Gd 0.302 0.750 0.843
3 Pb 0.250 0.250 0.301
4 Pb 0.750 0.750 0.699
5 S 0.952 0.750 0.172
6 S 0.564 0.250 0.855
7 S 0.048 0.250 0.828
8 S 0.436 0.750 0.145
9 S 0.243 0.750 0.545
10 S 0.757 0.250 0.455
11 Cu 0.922 0.750 0.410
12 Cu 0.078 0.250 0.590

- Crystal system: monoclinic
- Offset from the most stable computed form: 31 meV/atom
- Calculated density: 6.32 g/cm3
- Symmetry: P2_1/m (11)

***

9.
The following is a PBE calculation of a relaxed GdCuPbS3 crystal, from OQMD.

Cell: 10.975 4.086 11.361 Å, 90.00 90.00 90.00°
Fractional coordinates of all 24 atoms:
1 S 0.457 0.000 0.353
2 S 0.275 0.000 0.695
3 S 0.775 0.000 0.805
4 S 0.043 0.500 0.853
5 S 0.897 0.500 0.561
6 S 0.543 0.500 0.647
7 S 0.725 0.500 0.305
8 S 0.103 0.000 0.439
9 S 0.957 0.000 0.147
10 S 0.225 0.500 0.195
11 S 0.397 0.500 0.939
12 S 0.603 0.000 0.061
13 Pb 0.180 0.000 0.006
14 Pb 0.680 0.000 0.494
15 Pb 0.820 0.500 0.994
16 Pb 0.320 0.500 0.506
17 Gd 0.986 0.500 0.319
18 Gd 0.514 0.000 0.819
19 Gd 0.014 0.000 0.681
20 Gd 0.486 0.500 0.181
21 Cu 0.255 0.000 0.294
22 Cu 0.245 0.500 0.794
23 Cu 0.745 0.500 0.706
24 Cu 0.755 0.000 0.206

- Crystal system: orthorhombic
- Offset from the most stable computed form: 24 meV/atom
- Calculated density: 6.83 g/cm3
- Symmetry: Pnma (62)

***

10.
The following is a PBE calculation of a relaxed GdCuTePbS2 crystal, from OQMD.

Cell: 7.232 7.232 11.036 Å, 90.00 90.00 147.61°
Fractional coordinates of all 12 atoms:
1 Te 0.602 0.398 0.750
2 Te 0.398 0.602 0.250
3 Gd 0.500 0.500 0.000
4 Gd 0.500 0.500 0.500
5 S 0.122 0.878 0.078
6 S 0.878 0.122 0.578
7 S 0.122 0.878 0.422
8 S 0.878 0.122 0.922
9 Pb 0.710 0.290 0.250
10 Pb 0.290 0.710 0.750
11 Cu 0.976 0.024 0.750
12 Cu 0.024 0.976 0.250

- Final energy: -58.49 eV per cell
- Crystal system: orthorhombic
- Calculated density: 6.66 g/cm3
- Symmetry: Cmcm (63)

***

11.
The following is a PBE calculation of a relaxed GdCuTe2PbSe crystal, from OQMD.

Cell: 7.570 7.570 10.734 Å, 90.00 90.00 147.54°
Fractional coordinates of all 12 atoms:
1 Se 0.929 0.071 0.750
2 Se 0.071 0.929 0.250
3 Cu 0.527 0.473 0.750
4 Cu 0.473 0.527 0.250
5 Gd 0.000 0.000 0.000
6 Gd 0.000 0.000 0.500
7 Te 0.648 0.352 0.564
8 Te 0.648 0.352 0.936
9 Te 0.352 0.648 0.064
10 Te 0.352 0.648 0.436
11 Pb 0.256 0.744 0.750
12 Pb 0.744 0.256 0.250

- Final energy: -53.45 eV per cell
- Crystal system: orthorhombic
- Calculated density: 7.67 g/cm3
- Symmetry: Cmcm (63)

***

12.
The following is a PBE calculation of a relaxed SmGdCu2Pb crystal, from OQMD.

Cell: 3.708 7.402 7.402 Å, 33.48 90.00 90.00°
Fractional coordinates of all 5 atoms:
1 Pb 0.500 0.001 0.001
2 Sm 0.000 0.367 0.367
3 Cu 0.500 0.203 0.203
4 Cu 0.500 0.795 0.795
5 Gd 0.000 0.634 0.634

- Final energy: -22.35 eV per cell
- Crystal system: orthorhombic
- Calculated density: 9.51 g/cm3
- Symmetry: Amm2 (38)

***

13.
The following is a PBE calculation of a relaxed TbGdCu2Pb crystal, from OQMD.

Cell: 3.681 7.378 7.378 Å, 33.39 90.00 90.00°
Fractional coordinates of all 5 atoms:
1 Pb 0.500 0.000 0.000
2 Gd 0.000 0.365 0.365
3 Tb 0.000 0.635 0.635
4 Cu 0.500 0.203 0.203
5 Cu 0.500 0.796 0.796

- Final energy: -22.30 eV per cell
- Crystal system: orthorhombic
- Calculated density: 9.79 g/cm3
- Symmetry: Amm2 (38)

***

14.
The following is a PBE calculation of a relaxed TbGd2Cu4Pb4 crystal, from OQMD.

Cell: 8.640 8.640 8.640 Å, 149.19 131.70 58.39°
Fractional coordinates of all 11 atoms:
1 Tb 0.000 0.000 0.000
2 Pb 0.784 0.784 0.000
3 Pb 0.709 0.500 0.209
4 Pb 0.291 0.500 0.791
5 Pb 0.216 0.216 0.000
6 Gd 0.632 0.132 0.500
7 Gd 0.368 0.868 0.500
8 Cu 0.357 0.670 0.687
9 Cu 0.643 0.330 0.313
10 Cu 0.984 0.670 0.313
11 Cu 0.016 0.330 0.687

- Final energy: -46.75 eV per cell
- Crystal system: orthorhombic
- Calculated density: 10.56 g/cm3
- Symmetry: Immm (71)

***

15.
The following is a PBE calculation of a relaxed GdCuTe3Pb crystal, from OQMD.

Cell: 8.942 4.483 17.370 Å, 90.00 90.00 90.00°
Fractional coordinates of all 24 atoms:
1 Gd 0.242 0.750 0.038
2 Gd 0.258 0.250 0.538
3 Gd 0.758 0.250 0.962
4 Gd 0.742 0.750 0.462
5 Te 0.514 0.250 0.403
6 Te 0.687 0.250 0.783
7 Te 0.187 0.250 0.717
8 Te 0.486 0.750 0.597
9 Te 0.014 0.250 0.097
10 Te 0.886 0.250 0.561
11 Te 0.614 0.750 0.061
12 Te 0.386 0.250 0.939
13 Te 0.813 0.750 0.283
14 Te 0.313 0.750 0.217
15 Te 0.114 0.750 0.439
16 Te 0.986 0.750 0.903
17 Cu 0.129 0.250 0.870
18 Cu 0.629 0.250 0.630
19 Cu 0.871 0.750 0.130
20 Cu 0.371 0.750 0.370
21 Pb 0.581 0.250 0.217
22 Pb 0.919 0.750 0.717
23 Pb 0.419 0.750 0.783
24 Pb 0.081 0.250 0.283

- Crystal system: orthorhombic
- Offset from the most stable computed form: 49 meV/atom
- Calculated density: 7.73 g/cm3
- Symmetry: Pnma (62)

***

16.
The following is a PBE calculation of a relaxed GdCuTe3Pb crystal, from OQMD.

Cell: 8.393 4.301 10.624 Å, 90.00 105.80 90.00°
Fractional coordinates of all 12 atoms:
1 Pb 0.256 0.250 0.302
2 Pb 0.744 0.750 0.698
3 Cu 0.076 0.250 0.587
4 Cu 0.924 0.750 0.413
5 Te 0.425 0.750 0.141
6 Te 0.575 0.250 0.859
7 Te 0.747 0.250 0.461
8 Te 0.958 0.750 0.170
9 Te 0.042 0.250 0.830
10 Te 0.253 0.750 0.539
11 Gd 0.699 0.250 0.167
12 Gd 0.301 0.750 0.833

- Crystal system: monoclinic
- Offset from the most stable computed form: 22 meV/atom
- Calculated density: 7.30 g/cm3
- Symmetry: P2_1/m (11)

***

17.
The following is a PBE calculation of a relaxed GdCuTe3Pb crystal, from OQMD.

Cell: 4.294 7.613 11.313 Å, 90.00 90.00 73.62°
Fractional coordinates of all 12 atoms:
1 Te 0.355 0.289 0.934
2 Te 0.355 0.289 0.566
3 Te 0.645 0.711 0.066
4 Te 0.082 0.837 0.750
5 Te 0.918 0.163 0.250
6 Te 0.645 0.711 0.434
7 Gd 0.000 0.000 0.500
8 Gd 0.000 0.000 0.000
9 Cu 0.468 0.064 0.750
10 Cu 0.532 0.936 0.250
11 Pb 0.239 0.523 0.250
12 Pb 0.761 0.477 0.750

- Crystal system: orthorhombic
- Offset from the most stable computed form: 4 meV/atom
- Calculated density: 7.59 g/cm3
- Symmetry: Cmcm (63)

***

18.
The following is a PBE calculation of a relaxed GdCuTe3Pb crystal, from OQMD.

Cell: 11.349 4.312 14.603 Å, 90.00 90.00 90.00°
Fractional coordinates of all 24 atoms:
1 Pb 0.221 0.250 0.009
2 Pb 0.279 0.750 0.509
3 Pb 0.779 0.750 0.991
4 Pb 0.721 0.250 0.491
5 Gd 0.479 0.250 0.243
6 Gd 0.979 0.250 0.257
7 Gd 0.021 0.750 0.743
8 Gd 0.521 0.750 0.757
9 Te 0.412 0.750 0.101
10 Te 0.088 0.250 0.601
11 Te 0.588 0.250 0.899
12 Te 0.952 0.250 0.888
13 Te 0.233 0.250 0.333
14 Te 0.912 0.750 0.399
15 Te 0.733 0.250 0.167
16 Te 0.267 0.750 0.833
17 Te 0.767 0.750 0.667
18 Te 0.452 0.250 0.612
19 Te 0.048 0.750 0.112
20 Te 0.548 0.750 0.388
21 Cu 0.760 0.250 0.778
22 Cu 0.740 0.750 0.278
23 Cu 0.240 0.750 0.222
24 Cu 0.260 0.250 0.722

- Crystal system: orthorhombic
- Offset from the most stable computed form: 0 meV/atom
- Calculated density: 7.54 g/cm3
- Symmetry: Pnma (62)

***

19.
The following is a PBE calculation of a relaxed GdCuTe3Pb crystal, from OQMD.

Cell: 10.224 10.224 8.701 Å, 102.35 102.35 24.53°
Fractional coordinates of all 12 atoms:
1 Pb 0.122 0.122 0.068
2 Pb 0.878 0.878 0.932
3 Te 0.500 0.500 0.000
4 Te 0.323 0.323 0.164
5 Te 0.000 0.000 0.500
6 Te 0.322 0.322 0.655
7 Te 0.678 0.678 0.345
8 Te 0.677 0.677 0.836
9 Gd 0.159 0.159 0.583
10 Gd 0.841 0.841 0.417
11 Cu 0.454 0.454 0.294
12 Cu 0.546 0.546 0.706

- Crystal system: monoclinic
- Offset from the most stable computed form: 69 meV/atom
- Calculated density: 7.31 g/cm3
- Symmetry: C2/m (12)